[1]
A plane-wave DFT calculation with PBE was carried out for an optimized crystal structure of Pm2PrCd8.

Lattice parameters (Å, degrees): 9.0859 9.0859 5.3728 107.18 107.18 124.75
Fractional positions:
1 Pm 0.1912 0.8088 0.0000
2 Pm 0.8088 0.1912 0.0000
3 Pr 0.5000 0.5000 0.5000
4 Cd 0.0023 0.0023 0.7539
5 Cd 0.1425 0.3980 0.7692
6 Cd 0.2986 0.7014 0.5000
7 Cd 0.3980 0.1425 0.7692
8 Cd 0.6020 0.8575 0.2308
9 Cd 0.7014 0.2986 0.5000
10 Cd 0.8575 0.6020 0.2308
11 Cd 0.9977 0.9977 0.2461

Computed properties:
Its formation energy is -0.29 eV per atom. Its total energy is -2.2524 eV/atom. For the total magnetization, the calculation gives 0.00 μB/f.u.

[2]
A plane-wave DFT calculation with PBE was carried out for an optimized crystal structure of PmPrCd3.

Lattice parameters (Å, degrees): 8.9458 8.9458 8.9458 40.96 40.96 40.96
Fractional positions:
1 Pm 0.0733 0.0733 0.0733
2 Pm 0.9267 0.9267 0.9267
3 Pr 0.3342 0.3342 0.3342
4 Pr 0.6658 0.6658 0.6658
5 Cd 0.1102 0.6238 0.6238
6 Cd 0.3762 0.3762 0.8898
7 Cd 0.3762 0.8898 0.3762
8 Cd 0.6238 0.1102 0.6238
9 Cd 0.6238 0.6238 0.1102
10 Cd 0.8898 0.3762 0.3762

Computed properties:
Its formation energy is -0.21 eV per atom. Its total energy is -2.6627 eV/atom. For the total magnetization, the calculation gives 0.33 μB/f.u.

[3]
A plane-wave DFT calculation with PBE was carried out for an optimized crystal structure of Pm3Pr3Cd.

Lattice parameters (Å, degrees): 8.9496 8.9496 8.9496 58.09 58.09 58.09
Fractional positions:
1 Pm 0.0456 0.5700 0.7421
2 Pm 0.2579 0.9544 0.4300
3 Pm 0.4300 0.2579 0.9544
4 Pm 0.5700 0.7421 0.0456
5 Pm 0.7421 0.0456 0.5700
6 Pm 0.9544 0.4300 0.2579
7 Pr 0.1039 0.7829 0.2813
8 Pr 0.2171 0.7187 0.8961
9 Pr 0.2813 0.1039 0.7829
10 Pr 0.7187 0.8961 0.2171
11 Pr 0.7829 0.2813 0.1039
12 Pr 0.8961 0.2171 0.7187
13 Cd 0.3328 0.3328 0.3328
14 Cd 0.6672 0.6672 0.6672

Computed properties:
Its formation energy is 0.13 eV per atom. Its total energy is -4.0827 eV/atom. For the total magnetization, the calculation gives 0.00 μB/f.u.

[4]
A plane-wave DFT calculation with PBE was carried out for an optimized crystal structure of PmPr6Cd.

Lattice parameters (Å, degrees): 5.0998 5.0998 10.3756 90.00 90.00 90.00
Fractional positions:
1 Pm 0.0000 0.0000 0.0000
2 Pr 0.0000 0.5000 0.2563
3 Pr 0.0000 0.5000 0.7437
4 Pr 0.5000 0.0000 0.2563
5 Pr 0.5000 0.0000 0.7437
6 Pr 0.5000 0.5000 0.0000
7 Pr 0.5000 0.5000 0.5000
8 Cd 0.0000 0.0000 0.5000

Computed properties:
Its formation energy is -0.04 eV per atom. Its total energy is -4.3364 eV/atom. For the total magnetization, the calculation gives 0.00 μB/f.u.

What is the formula in the fourth record? PmPr6Cd

total magnetization of number 3 (Pm3Pr3Cd)? 0.00 μB/f.u.

Look up the total magnetization of the first one. 0.00 μB/f.u.

Copy entry 3 word for word.
A plane-wave DFT calculation with PBE was carried out for an optimized crystal structure of Pm3Pr3Cd.

Lattice parameters (Å, degrees): 8.9496 8.9496 8.9496 58.09 58.09 58.09
Fractional positions:
1 Pm 0.0456 0.5700 0.7421
2 Pm 0.2579 0.9544 0.4300
3 Pm 0.4300 0.2579 0.9544
4 Pm 0.5700 0.7421 0.0456
5 Pm 0.7421 0.0456 0.5700
6 Pm 0.9544 0.4300 0.2579
7 Pr 0.1039 0.7829 0.2813
8 Pr 0.2171 0.7187 0.8961
9 Pr 0.2813 0.1039 0.7829
10 Pr 0.7187 0.8961 0.2171
11 Pr 0.7829 0.2813 0.1039
12 Pr 0.8961 0.2171 0.7187
13 Cd 0.3328 0.3328 0.3328
14 Cd 0.6672 0.6672 0.6672

Computed properties:
Its formation energy is 0.13 eV per atom. Its total energy is -4.0827 eV/atom. For the total magnetization, the calculation gives 0.00 μB/f.u.